{
  "formula": "NaIrPbO4",
  "functional": "PBE-GGA",
  "state": "relaxed",
  "sg": "Imma, No. 74",
  "density_kg_m3": 7666,
  "crystal_system": "orthorhombic",
  "e_form_raw_ev_per_atom": -1.067,
  "m_tot_mub_per_fu": 0.00,
  "cell": [[-3.230, 3.410, 4.783], [3.230, -3.410, 4.783], [3.230, 3.410, -4.783]],
  "species": ["Na", "Na", "Ir", "Ir", "Pb", "Pb", "O", "O", "O", "O", "O", "O", "O", "O"],
  "frac_coords": [[0.370, 0.120, 0.250], [0.630, 0.880, 0.750], [0.000, 0.000, 0.500], [0.000, 0.500, 0.000], [0.000, 0.500, 0.500], [0.500, 0.500, 0.000], [0.183, 0.744, 0.439], [0.195, 0.256, 0.939], [0.210, 0.218, 0.508], [0.210, 0.702, 0.992], [0.790, 0.298, 0.008], [0.790, 0.782, 0.492], [0.805, 0.744, 0.061], [0.817, 0.256, 0.561]]
}

{
  "formula": "NaIr2PbO8",
  "functional": "PBE-GGA",
  "state": "relaxed",
  "sg": "P-3, No. 147",
  "density_kg_m3": 6244,
  "crystal_system": "trigonal",
  "e_form_raw_ev_per_atom": -0.525,
  "m_tot_mub_per_fu": 1.05,
  "cell": [[5.808, 0.000, 0.000], [-2.904, 5.030, 0.000], [0.000, 0.000, 6.759]],
  "species": ["Na", "Ir", "Ir", "Pb", "O", "O", "O", "O", "O", "O", "O", "O"],
  "frac_coords": [[0.000, 0.000, 0.000], [0.333, 0.667, 0.457], [0.667, 0.333, 0.543], [0.000, 0.000, 0.500], [0.063, 0.392, 0.630], [0.328, 0.937, 0.630], [0.333, 0.667, 0.189], [0.392, 0.328, 0.370], [0.608, 0.672, 0.630], [0.667, 0.333, 0.811], [0.672, 0.063, 0.370], [0.937, 0.608, 0.370]]
}

{
  "formula": "NaIrPbO6",
  "functional": "PBE-GGA",
  "state": "relaxed",
  "sg": "P-31c, No. 163",
  "density_kg_m3": 6573,
  "crystal_system": "trigonal",
  "e_form_raw_ev_per_atom": -0.785,
  "m_tot_mub_per_fu": 0.00,
  "cell": [[5.598, 0.000, 0.000], [-2.799, 4.848, 0.000], [0.000, 0.000, 9.651]],
  "species": ["Na", "Na", "Ir", "Ir", "Pb", "Pb", "O", "O", "O", "O", "O", "O", "O", "O", "O", "O", "O", "O"],
  "frac_coords": [[0.000, 0.000, 0.000], [0.000, 0.000, 0.500], [0.333, 0.667, 0.250], [0.667, 0.333, 0.750], [0.333, 0.667, 0.750], [0.667, 0.333, 0.250], [0.048, 0.391, 0.138], [0.048, 0.657, 0.362], [0.343, 0.391, 0.362], [0.343, 0.952, 0.138], [0.391, 0.048, 0.638], [0.391, 0.343, 0.862], [0.609, 0.657, 0.138], [0.609, 0.952, 0.362], [0.657, 0.048, 0.862], [0.657, 0.609, 0.638], [0.952, 0.343, 0.638], [0.952, 0.609, 0.862]]
}

{
  "formula": "Na2IrPdO6",
  "functional": "PBE-GGA",
  "state": "relaxed",
  "sg": "P4mm, No. 99",
  "density_kg_m3": 5688,
  "crystal_system": "tetragonal",
  "e_form_raw_ev_per_atom": -0.685,
  "m_tot_mub_per_fu": 0.69,
  "cell": [[5.523, 0.000, 0.000], [0.000, 5.523, 0.000], [0.000, 0.000, 4.216]],
  "species": ["Na", "Na", "Ir", "Pd", "O", "O", "O", "O", "O", "O"],
  "frac_coords": [[0.000, 0.500, 0.000], [0.500, 0.000, 0.000], [0.000, 0.000, 0.538], [0.500, 0.500, 0.554], [0.000, 0.000, 0.104], [0.236, 0.236, 0.629], [0.236, 0.764, 0.629], [0.500, 0.500, 0.080], [0.764, 0.236, 0.629], [0.764, 0.764, 0.629]]
}

{
  "formula": "Na2IrPdO4",
  "functional": "PBE-GGA",
  "state": "relaxed",
  "sg": "I-4, No. 82",
  "density_kg_m3": 6048,
  "crystal_system": "tetragonal",
  "e_form_raw_ev_per_atom": -0.740,
  "m_tot_mub_per_fu": 0.79,
  "cell": [[5.822, 0.000, 0.000], [0.000, 5.822, 0.000], [0.000, 0.000, 6.620]],
  "species": ["Na", "Na", "Na", "Na", "Ir", "Ir", "Pd", "Pd", "O", "O", "O", "O", "O", "O", "O", "O"],
  "frac_coords": [[0.000, 0.000, 0.000], [0.000, 0.500, 0.250], [0.500, 0.000, 0.750], [0.500, 0.500, 0.500], [0.000, 0.000, 0.500], [0.500, 0.500, 0.000], [0.000, 0.500, 0.750], [0.500, 0.000, 0.250], [0.146, 0.178, 0.713], [0.178, 0.854, 0.287], [0.322, 0.646, 0.787], [0.354, 0.322, 0.213], [0.646, 0.678, 0.213], [0.678, 0.354, 0.787], [0.822, 0.146, 0.287], [0.854, 0.822, 0.713]]
}

{
  "formula": "NaIrPd2O6",
  "functional": "PBE-GGA",
  "state": "relaxed",
  "sg": "R3, No. 146",
  "density_kg_m3": 7267,
  "crystal_system": "trigonal",
  "e_form_raw_ev_per_atom": -0.644,
  "m_tot_mub_per_fu": 0.39,
  "cell": [[2.661, 1.536, 4.881], [-2.661, 1.536, 4.881], [0.000, -3.073, 4.881]],
  "species": ["Na", "Ir", "Pd", "Pd", "O", "O", "O", "O", "O", "O"],
  "frac_coords": [[0.000, 0.000, 0.000], [0.520, 0.520, 0.520], [0.203, 0.203, 0.203], [0.719, 0.719, 0.719], [0.136, 0.788, 0.432], [0.336, 0.571, 0.908], [0.432, 0.136, 0.788], [0.571, 0.908, 0.336], [0.788, 0.432, 0.136], [0.908, 0.336, 0.571]]
}

{
  "formula": "NaPm2IrO6",
  "functional": "PBE-GGA",
  "state": "relaxed",
  "sg": "R-3, No. 148",
  "density_kg_m3": 7353,
  "crystal_system": "trigonal",
  "e_form_raw_ev_per_atom": -2.181,
  "m_tot_mub_per_fu": 2.02,
  "cell": [[2.939, 1.697, 4.538], [-2.939, 1.697, 4.538], [0.000, -3.393, 4.538]],
  "species": ["Na", "Pm", "Pm", "Ir", "O", "O", "O", "O", "O", "O"],
  "frac_coords": [[0.000, 0.000, 0.000], [0.270, 0.270, 0.270], [0.730, 0.730, 0.730], [0.500, 0.500, 0.500], [0.160, 0.703, 0.380], [0.297, 0.620, 0.840], [0.380, 0.160, 0.703], [0.620, 0.840, 0.297], [0.703, 0.380, 0.160], [0.840, 0.297, 0.620]]
}

{
  "formula": "Na3Pm2IrO6",
  "functional": "PBE-GGA",
  "state": "relaxed",
  "sg": "C2/m, No. 12",
  "density_kg_m3": 6473,
  "crystal_system": "monoclinic",
  "e_form_raw_ev_per_atom": -2.032,
  "m_tot_mub_per_fu": 0.00,
  "cell": [[2.907, -5.017, 0.000], [2.907, 5.017, 0.000], [-1.860, 0.000, 5.691]],
  "species": ["Na", "Na", "Na", "Pm", "Pm", "Ir", "O", "O", "O", "O", "O", "O"],
  "frac_coords": [[0.000, 0.000, 0.000], [0.349, 0.651, 0.000], [0.651, 0.349, 0.000], [0.168, 0.832, 0.500], [0.832, 0.168, 0.500], [0.500, 0.500, 0.500], [0.120, 0.427, 0.278], [0.260, 0.260, 0.715], [0.427, 0.120, 0.278], [0.573, 0.880, 0.722], [0.740, 0.740, 0.285], [0.880, 0.573, 0.722]]
}

- What is the formula in the eighth record?
  Na3Pm2IrO6